Entry 1:
Below is an optimized crystal structure of Ac2Pd2Pt, with properties calculated at the GGA-PBE level.

Unit cell a=11.5656 b=4.3346 c=11.9515 alpha=90.00 beta=118.59 gamma=90.00
Space group C2/m (No. 12)
One atom of each set of equivalent atoms:
Ac 0.0546 0.0000 0.3623 [4 per cell]
Ac 0.1928 0.0000 0.1084 [4 per cell]
Pd 0.0372 0.5000 0.8941 [4 per cell]
Pd 0.1273 0.5000 0.5852 [4 per cell]
Pt 0.2200 0.5000 0.3067 [4 per cell]

=====

Entry 2:
Below is an optimized crystal structure of AcPuPdPt, with properties calculated at the GGA-PBE level.

Unit cell a=7.3255 b=7.3255 c=7.3255 alpha=90.00 beta=90.00 gamma=90.00
Space group F-43m (No. 216)
One atom of each set of equivalent atoms:
Ac 0.0000 0.0000 0.0000 [4 per cell]
Pu 0.0000 0.0000 0.5000 [4 per cell]
Pd 0.2500 0.2500 0.2500 [4 per cell]
Pt 0.2500 0.2500 0.7500 [4 per cell]

=====

Entry 3:
Below is an optimized crystal structure of Ac4PdPt2Rh, with properties calculated at the GGA-PBE level.

Unit cell a=7.5680 b=4.3745 c=7.5757 alpha=90.00 beta=109.43 gamma=90.00
Space group P2/m (No. 10)
One atom of each set of equivalent atoms:
Ac 0.2465 0.0000 0.2433 [2 per cell]
Ac 0.2511 0.5000 0.7563 [2 per cell]
Pd 0.0000 0.0000 0.5000 [1 per cell]
Pt 0.5000 0.0000 0.0000 [1 per cell]
Pt 0.5000 0.5000 0.5000 [1 per cell]
Rh 0.0000 0.5000 0.0000 [1 per cell]

=====

Entry 4:
Below is an optimized crystal structure of Ac6Pd2PtRh, with properties calculated at the GGA-PBE level.

Unit cell a=7.6078 b=7.6088 c=8.3216 alpha=62.81 beta=62.82 gamma=60.07
Space group P1 (No. 1)
One atom of each set of equivalent atoms:
Ac 0.0000 0.0000 0.0000 [1 per cell]
Ac 0.1376 0.4970 0.5078 [1 per cell]
Ac 0.3029 0.3294 0.0001 [1 per cell]
Ac 0.4908 0.8328 0.5079 [1 per cell]
Ac 0.6322 0.6974 0.0000 [1 per cell]
Ac 0.8012 0.1867 0.5079 [1 per cell]
Pd 0.2199 0.9166 0.2763 [1 per cell]
Pd 0.7197 0.4163 0.7774 [1 per cell]
Pt 0.8978 0.5942 0.2428 [1 per cell]
Rh 0.3998 0.0960 0.7369 [1 per cell]

=====

Number 1: final energy -5.8215 eV/atom. Number 2: final energy -8.0944 eV/atom. Number 3: final energy -6.0633 eV/atom. Number 4: final energy -5.5409 eV/atom.